# AcPm5Tl2 | Alexandria via LeMat-Bulk | PBE | relaxed
data_AcPm5Tl2
_chemical_formula_sum 'Ac2 Pm10 Tl4'
_symmetry_space_group_name_H-M 'I m m m'
_symmetry_Int_Tables_number 71
_symmetry_space_group_name_Hall '-I 2 2'
_cell_length_a 3.810
_cell_length_b 10.847
_cell_length_c 12.989
_cell_angle_alpha 90.00
_cell_angle_beta 90.00
_cell_angle_gamma 90.00
loop_
_atom_site_label
_atom_site_type_symbol
_atom_site_fract_x
_atom_site_fract_y
_atom_site_fract_z
_atom_site_occupancy
Ac1 Ac 0.000 0.000 0.000 1
Pm1 Pm 0.000 0.223 0.362 1
Pm2 Pm 0.000 0.500 0.000 1
Tl1 Tl 0.000 0.500 0.261 1
# DOS at the Fermi energy: 23.3 states/eV/cell
# Calculated formation energy: -0.139 eV/atom
# Uncorrected energy: -4.213 eV per atom